Entry 1:
HgBi3S6 | PBE | optimized geometry

The structure in CIF format:
```
data_HgBi3S6
_chemical_formula_sum 'Hg1 Bi3 S6'
_cell_length_a 7.627
_cell_length_b 7.627
_cell_length_c 7.627
_cell_angle_alpha 54.54
_cell_angle_beta 54.54
_cell_angle_gamma 54.54
_symmetry_space_group_name_H-M 'P 1'
_symmetry_Int_Tables_number 1
loop_
_symmetry_equiv_pos_as_xyz
'x,y,z'
loop_
_atom_site_label
_atom_site_fract_x
_atom_site_fract_y
_atom_site_fract_z
Hg1 0.000 0.000 0.000
Bi1 0.246 0.246 0.246
Bi2 0.571 0.571 0.571
Bi3 0.768 0.768 0.768
S1 0.179 0.841 0.468
S2 0.371 0.653 0.979
S3 0.468 0.179 0.841
S4 0.653 0.979 0.371
S5 0.841 0.468 0.179
S6 0.979 0.371 0.653
```

Calculated values
* total magnetization: 0.000 μB/cell
* relative energy among the computed polymorphs: 0 meV/atom
* energy relative to the elements, uncorrected: -1.7 eV per formula unit
* crystal system: trigonal
* N(E_F): 6.93 states/eV/cell
* space-group type: R3 (146)

***

Entry 2:
Sr2AgTe2 | PBE | optimized geometry

The structure in CIF format:
```
data_Sr2AgTe2
_chemical_formula_sum 'Sr4 Ag2 Te4'
_cell_length_a 6.502
_cell_length_b 6.502
_cell_length_c 9.625
_cell_angle_alpha 90.00
_cell_angle_beta 90.00
_cell_angle_gamma 90.00
_symmetry_space_group_name_H-M 'P 1'
_symmetry_Int_Tables_number 1
loop_
_symmetry_equiv_pos_as_xyz
'x,y,z'
loop_
_atom_site_label
_atom_site_fract_x
_atom_site_fract_y
_atom_site_fract_z
Sr1 0.000 0.500 0.250
Sr2 0.000 0.500 0.750
Sr3 0.500 0.000 0.250
Sr4 0.500 0.000 0.750
Ag1 0.000 0.000 0.000
Ag2 0.500 0.500 0.500
Te1 0.000 0.000 0.284
Te2 0.000 0.000 0.716
Te3 0.500 0.500 0.216
Te4 0.500 0.500 0.784
```

Calculated values
* total magnetization: 1.206 μB/cell
* relative energy among the computed polymorphs: 131 meV/atom
* energy relative to the elements, uncorrected: -4.5 eV per formula unit
* crystal system: tetragonal
* N(E_F): 8.39 states/eV/cell
* space-group type: I4/mmm (139)

***

Entry 3:
MgScZn2F | PBE | optimized geometry

The structure in CIF format:
```
data_MgScZn2F
_chemical_formula_sum 'Mg1 Sc1 Zn2 F1'
_cell_length_a 4.832
_cell_length_b 4.832
_cell_length_c 5.648
_cell_angle_alpha 90.00
_cell_angle_beta 90.00
_cell_angle_gamma 90.00
_symmetry_space_group_name_H-M 'P 1'
_symmetry_Int_Tables_number 1
loop_
_symmetry_equiv_pos_as_xyz
'x,y,z'
loop_
_atom_site_label
_atom_site_fract_x
_atom_site_fract_y
_atom_site_fract_z
Mg1 0.000 0.000 0.000
Sc1 0.000 0.000 0.500
Zn1 0.000 0.500 0.000
Zn2 0.500 0.000 0.000
F1 0.500 0.500 0.500
```

Calculated values
* total magnetization: 0.168 μB/cell
* relative energy among the computed polymorphs: 840 meV/atom
* energy relative to the elements, uncorrected: 1.1 eV per formula unit
* crystal system: tetragonal
* N(E_F): 3.58 states/eV/cell
* space-group type: P4/mmm (123)